Entry 1:
# Dy5Y3Ho2

Dy5Y3Ho2 after structural relaxation (GGA-PBE, Alexandria). Values from VASP.

Summary:
Energy of formation from the pure elements = 0.203 eV/atom
Total moment = 0.000 μB/f.u.
Crystal system = monoclinic

The structure in Quantum ESPRESSO input format:
```
&SYSTEM
  ibrav = 0, nat = 20, ntyp = 3
/
ATOMIC_SPECIES
Dy 162.50 Dy.upf
Y 88.91 Y.upf
Ho 164.93 Ho.upf
CELL_PARAMETERS angstrom
5.3301 -7.8410 0.0000
5.3301 7.8410 0.0000
-5.3295 0.0000 7.8549
ATOMIC_POSITIONS angstrom
Dy 1.3329 7.5385 5.8911
Dy -1.3231 2.2078 5.8859
Dy 1.3329 4.3938 5.8911
Dy 3.9977 3.4290 1.9637
Dy 1.3417 -2.2078 1.9585
Dy 3.9889 2.2078 5.8963
Dy 1.3329 -3.4290 5.8911
Dy 3.9977 -4.3938 1.9637
Dy 6.6537 -2.2078 1.9689
Dy 3.9977 -7.5385 1.9637
Y 1.3290 2.0438 0.3543
Y -1.3358 -2.0438 4.2817
Y 3.9977 0.2682 1.9637
Y 1.3329 -0.2682 5.8911
Y 6.6664 2.0438 3.5731
Y 4.0016 -2.0438 7.5006
Ho 1.3290 2.0668 3.5438
Ho -1.3357 -2.0668 7.4712
Ho 6.6663 2.0668 0.3837
Ho 4.0016 -2.0668 4.3111
```

Entry 2:
# Cs12Hg5Cl3

Cs12Hg5Cl3 after structural relaxation (GGA-PBE, Alexandria). Values from VASP.

Summary:
Total moment = 0.004 μB/f.u.
Crystal system = cubic
ΔE_f (raw) = -0.518 eV per atom

The structure in Quantum ESPRESSO input format:
```
&SYSTEM
  ibrav = 0, nat = 80, ntyp = 3
/
ATOMIC_SPECIES
Cs 132.91 Cs.upf
Hg 200.59 Hg.upf
Cl 35.45 Cl.upf
CELL_PARAMETERS angstrom
-10.9935 10.9935 10.9935
10.9935 -10.9935 10.9935
10.9935 10.9935 -10.9935
ATOMIC_POSITIONS angstrom
Cs 10.4011 -1.9720 3.2285
Cs 17.0825 -2.2682 3.5248
Cs 3.2285 -0.5923 1.9720
Cs 13.2617 7.4687 -6.0891
Cs 14.2219 0.5923 1.9720
Cs 13.2617 -3.5248 6.0891
Cs 1.9720 3.2285 -0.5923
Cs 14.5182 4.9044 -2.2682
Cs 7.4687 6.0891 -2.2682
Cs 9.0215 3.2285 0.5923
Cs -0.5923 1.9720 3.2285
Cs 6.0891 -2.2682 7.4687
Cs 10.4011 9.0215 -3.2285
Cs 6.0891 2.2682 3.5248
Cs 9.0215 -3.2285 10.4011
Cs 7.4687 -6.0891 13.2617
Cs 3.5248 6.0891 2.2682
Cs 12.9654 7.7650 0.5923
Cs 3.2285 10.4011 -1.9720
Cs 13.2617 3.5248 4.9044
Cs 2.2682 3.5248 6.0891
Cs 3.2285 0.5923 9.0215
Cs 6.0891 13.2617 -3.5248
Cs 10.4011 1.9720 7.7650
Cs 0.5923 9.0215 3.2285
Cs 4.9044 -2.2682 14.5182
Cs 7.7650 10.4011 1.9720
Cs 8.7252 7.4687 4.9044
Cs -2.2682 7.4687 6.0891
Cs 7.7650 0.5923 12.9654
Cs -1.9720 3.2285 10.4011
Cs 7.4687 4.9044 8.7252
Cs 3.5248 17.0825 -2.2682
Cs 1.9720 14.2219 0.5923
Cs 4.9044 8.7252 7.4687
Cs 0.5923 1.9720 14.2219
Cs 4.9044 13.2617 3.5248
Cs 11.5858 9.0215 7.7650
Cs 1.9720 7.7650 10.4011
Cs 3.5248 4.9044 13.2617
Cs -3.5248 6.0891 13.2617
Cs 9.0215 7.7650 11.5858
Cs -2.2682 14.5182 4.9044
Cs -3.2285 10.4011 9.0215
Cs -2.2682 3.5248 17.0825
Cs 7.7650 11.5858 9.0215
Cs -6.0891 13.2617 7.4687
Cs 0.5923 12.9654 7.7650
Hg 0.0000 0.0000 0.0000
Hg 5.4967 5.4967 -5.4967
Hg 5.4967 -5.4967 5.4967
Hg 10.9935 0.0000 0.0000
Hg 16.4902 2.7484 0.0000
Hg 10.9935 -5.4967 8.2451
Hg 8.2451 10.9935 -5.4967
Hg 8.2451 0.0000 5.4967
Hg 5.4967 8.2451 0.0000
Hg 10.9935 5.4967 2.7484
Hg -5.4967 5.4967 5.4967
Hg 0.0000 10.9935 0.0000
Hg 0.0000 0.0000 10.9935
Hg 5.4967 5.4967 5.4967
Hg 0.0000 5.4967 8.2451
Hg 5.4967 2.7484 10.9935
Hg 2.7484 10.9935 5.4967
Hg 2.7484 0.0000 16.4902
Hg 0.0000 16.4902 2.7484
Hg -5.4967 8.2451 10.9935
Cl 5.4967 2.7484 0.0000
Cl 10.9935 5.4967 -2.7484
Cl 2.7484 0.0000 5.4967
Cl 13.7418 0.0000 5.4967
Cl 0.0000 5.4967 2.7484
Cl 5.4967 -2.7484 10.9935
Cl 5.4967 13.7418 0.0000
Cl 10.9935 5.4967 8.2451
Cl -2.7484 10.9935 5.4967
Cl 8.2451 10.9935 5.4967
Cl 0.0000 5.4967 13.7418
Cl 5.4967 8.2451 10.9935
```

Entry 3:
# KLa2Al

KLa2Al after structural relaxation (GGA-PBE, Alexandria). Values from VASP.

Summary:
Energy of formation from the pure elements = 0.307 eV/atom
Total moment = 0.000 μB/f.u.
Crystal system = monoclinic

The structure in Quantum ESPRESSO input format:
```
&SYSTEM
  ibrav = 0, nat = 8, ntyp = 3
/
ATOMIC_SPECIES
K 39.10 K.upf
La 138.91 La.upf
Al 26.98 Al.upf
CELL_PARAMETERS angstrom
7.0921 0.0000 0.0000
0.0000 11.8328 0.0000
-1.3992 0.0000 3.1864
ATOMIC_POSITIONS angstrom
K 0.0000 0.0000 0.0000
K 3.5460 5.9164 0.0000
La 1.0734 2.9582 1.5932
La 1.0734 8.8746 1.5932
La 4.6195 2.9582 1.5932
La 4.6195 8.8746 1.5932
Al 0.0000 5.9164 0.0000
Al 3.5460 0.0000 0.0000
```

- What is the total moment in the third record?
  0.000 μB/f.u.